No. 1
## MnSbMoRh (PBE)

Data for a relaxed structure of MnSbMoRh.

Computed properties:
Volume = 63 Å³ per cell
Size of the total moment = 3.03 μB per formula unit
Raw formation energy = -0.08 eV per atom

Cell and atoms, written as extended XYZ:
```
4
Lattice="-2.1215 -1.0773 -3.7883 1.3850 -3.4964 -2.4227 -2.4870 -3.7135 -0.1926" Properties=species:S:1:pos:R:3 pbc="T T T"
Rh -1.6118 -4.1436 -3.2018
Mo 0.0000 0.0000 0.0000
Mn -0.8059 -2.0718 -1.6009
Sb -2.4177 -6.2154 -4.8027
```



No. 2
## YCrBr2 (PBE)

Data for a relaxed structure of YCrBr2.

Computed properties:
Volume = 98 Å³ per cell
E above lowest polymorph = 336.9 meV/atom
Size of the total moment = 4.88 μB per formula unit
Raw formation energy = -0.24 eV per atom

Cell and atoms, written as extended XYZ:
```
4
Lattice="6.5926 0.0113 0.0000 4.0686 5.1874 0.0000 -5.3306 -2.5994 2.8794" Properties=species:S:1:pos:R:3 pbc="T T T"
Br 0.0000 0.0000 0.0000
Br 2.0343 2.5937 1.4397
Y 3.2963 0.0057 1.4397
Cr 5.3306 2.5994 0.0000
```



No. 3
## Zr2Al6Tc (PBE)

Data for a relaxed structure of Zr2Al6Tc.

Computed properties:
Volume = 158 Å³ per cell
Size of the total moment = 0.00 μB per formula unit
ΔE_f = -0.345 eV per atom

Cell and atoms, written as extended XYZ:
```
9
Lattice="5.8820 -0.0460 -0.0266 0.0091 5.5700 0.0068 0.0091 2.7810 4.8261" Properties=species:S:1:pos:R:3 pbc="T T T"
Al 1.8768 4.2206 3.9878
Al 4.0233 2.7447 3.1336
Al 4.0344 1.4068 0.8142
Al 1.8657 6.8982 3.9921
Al 1.8768 5.5603 1.6727
Al 4.0233 4.0844 0.8185
Tc 0.0000 0.0000 0.0000
Zr 0.7010 2.7809 1.6094
Zr 5.1991 5.5241 3.1969
```



No. 4
## LaFeNiAs2 (PBE)

Data for a relaxed structure of LaFeNiAs2.

Computed properties:
Volume = 89 Å³ per cell
Size of the total moment = 2.04 μB per formula unit
ΔE_f = -0.745 eV per atom

Cell and atoms, written as extended XYZ:
```
5
Lattice="4.0754 0.0000 0.0000 0.0000 4.0754 0.0000 -2.0377 -2.0377 5.3542" Properties=species:S:1:pos:R:3 pbc="T T T"
Ni 0.0000 2.0377 2.6771
Fe 2.0377 0.0000 2.6771
As 2.0377 2.0377 1.4656
As 0.0000 0.0000 3.8887
La 0.0000 0.0000 0.0000
```



No. 5
## Ca6AsCl8 (PBE)

Data for a relaxed structure of Ca6AsCl8.

Computed properties:
Volume = 434 Å³ per cell
Size of the total moment = 0.00 μB per formula unit
Raw formation energy = -2.06 eV per atom

Cell and atoms, written as extended XYZ:
```
15
Lattice="-6.2589 -0.9451 -3.4538 -5.6614 -2.7824 3.4934 -6.7361 7.6196 2.5945" Properties=species:S:1:pos:R:3 pbc="T T T"
Ca -8.0183 5.1359 3.2217
Ca -6.5763 0.0840 -0.7993
Ca -10.6380 -1.2438 -0.5877
Ca -10.5258 5.3618 -0.2376
Ca -8.1305 -1.4697 2.8716
Ca -12.0801 3.8081 3.4334
Cl -7.9481 -2.4810 0.0275
Cl -6.7514 0.7068 1.8907
Cl -10.7082 6.3731 2.6065
Cl -9.1301 0.9260 -1.4078
Cl -11.9049 3.1853 0.7433
Cl -8.0372 4.4467 0.5523
Cl -9.5262 2.9661 4.0419
Cl -10.6191 -0.5546 2.0817
As 0.0000 0.0000 0.0000
```



No. 6
## Pr2GdMg (PBE)

Data for a relaxed structure of Pr2GdMg.

Computed properties:
Volume = 136 Å³ per cell
E above lowest polymorph = 223.5 meV/atom
Size of the total moment = 7.18 μB per formula unit
ΔE_f = 0.187 eV per atom

Cell and atoms, written as extended XYZ:
```
4
Lattice="3.5313 0.0000 0.0000 1.7656 3.0582 0.0000 1.7656 1.0194 12.6082" Properties=species:S:1:pos:R:3 pbc="T T T"
Mg 0.0000 0.0000 0.0000
Pr 1.7656 1.0194 9.2481
Pr 5.2969 3.0582 3.3601
Gd 3.5313 2.0388 6.3041
```



No. 7
## AlAsRh (PBE)

Data for a relaxed structure of AlAsRh.

Computed properties:
Volume = 51 Å³ per cell
Size of the total moment = 0.00 μB per formula unit
ΔE_f = -0.539 eV per atom

Cell and atoms, written as extended XYZ:
```
3
Lattice="4.1703 0.0000 0.0000 2.0851 3.6116 0.0000 2.0851 1.2039 3.4050" Properties=species:S:1:pos:R:3 pbc="T T T"
Al 0.0000 0.0000 0.0000
Rh 6.2554 3.6116 2.5538
As 4.1703 2.4077 1.7025
```



No. 8
## CePm4Nd5 (PBE)

Data for a relaxed structure of CePm4Nd5.

Computed properties:
Volume = 364 Å³ per cell
Size of the total moment = 1.01 μB per formula unit
ΔE_f = 0.241 eV per atom

Cell and atoms, written as extended XYZ:
```
10
Lattice="4.8750 0.0000 -1.3516 -1.2313 7.5870 -4.4413 0.0559 0.2674 9.6693" Properties=species:S:1:pos:R:3 pbc="T T T"
Pm 0.8988 4.5480 3.2421
Pm -0.1793 2.1503 -0.6466
Pm 3.8788 5.7040 4.5231
Pm 2.8007 3.3064 0.6343
Nd 3.0184 6.9096 1.4195
Nd 1.8219 3.7935 -2.8964
Nd -0.0441 5.5958 -0.1591
Nd 0.6812 0.9448 2.4569
Nd 3.7437 2.2585 4.0355
Ce 2.4375 0.0000 -0.6758
```



No. 9
## PrSnHgI6 (PBE)

Data for a relaxed structure of PrSnHgI6.

Computed properties:
Volume = 407 Å³ per cell
Size of the total moment = 0.00 μB per formula unit
Raw formation energy = -0.78 eV per atom

Cell and atoms, written as extended XYZ:
```
9
Lattice="7.9653 -0.0006 -0.0006 3.9821 6.8987 0.0001 -0.0082 0.0128 7.4080" Properties=species:S:1:pos:R:3 pbc="T T T"
I 2.6003 4.5064 5.5112
I 1.3817 2.4005 1.8958
I 5.1949 0.0119 1.8962
I 2.7618 0.0100 5.5117
I 5.3562 4.5069 1.8972
I 6.5735 2.3987 5.5101
Hg 0.0008 0.0007 0.0001
Sn 7.9623 4.6063 3.7036
Pr 3.9761 2.3045 3.7037
```



No. 10
## Na2AgTeS (PBE)

Data for a relaxed structure of Na2AgTeS.

Computed properties:
Volume = 134 Å³ per cell
E above lowest polymorph = 0.0 meV/atom
Size of the total moment = 0.52 μB per formula unit
Raw formation energy = -0.46 eV per atom

Cell and atoms, written as extended XYZ:
```
5
Lattice="5.2733 0.0000 0.0000 0.0000 5.2733 0.0000 0.0000 0.0000 4.8046" Properties=species:S:1:pos:R:3 pbc="T T T"
S 0.0000 0.0000 0.0000
Te 2.6366 2.6366 2.4023
Ag 0.0000 0.0000 2.4023
Na 2.6366 0.0000 0.0000
Na 0.0000 2.6366 0.0000
```



No. 11
## CrHPd3 (PBE)

Data for a relaxed structure of CrHPd3.

Computed properties:
Volume = 135 Å³ per cell
E above lowest polymorph = 217.5 meV/atom
Size of the total moment = 3.96 μB per formula unit

Cell and atoms, written as extended XYZ:
```
10
Lattice="-0.3943 4.8186 -2.0729 -4.4173 -2.6140 1.1513 0.0294 2.1904 5.0861" Properties=species:S:1:pos:R:3 pbc="T T T"
Pd 0.0000 0.0000 0.0000
Pd -4.5233 0.4965 1.3197
Pd -2.6636 5.0003 2.3842
Pd -2.1187 -0.6053 1.7803
Pd 0.0147 1.0952 2.5431
Pd -0.2590 3.8985 2.8447
H -0.9127 5.4629 2.1748
H -3.8695 -1.0679 1.9897
Cr -2.2997 1.8324 0.7315
Cr -2.4826 2.5626 3.4329
```



No. 12
## Th4ReGe (PBE)

Data for a relaxed structure of Th4ReGe.

Computed properties:
Volume = 325 Å³ per cell
Size of the total moment = 0.00 μB per formula unit
ΔE_f = -0.277 eV per atom

Cell and atoms, written as extended XYZ:
```
12
Lattice="6.1058 0.0000 0.0000 0.0000 7.3008 0.0000 0.0000 0.0000 7.3008" Properties=species:S:1:pos:R:3 pbc="T T T"
Th 0.0000 4.7768 6.0216
Th 3.0529 6.0216 4.7768
Th 3.0529 1.2793 2.5241
Th 0.0000 1.2793 4.7768
Th 3.0529 4.7768 1.2793
Th 0.0000 6.0216 2.5241
Th 3.0529 2.5241 6.0216
Th 0.0000 2.5241 1.2793
Ge 4.5793 0.0000 0.0000
Ge 1.5264 0.0000 0.0000
Re 4.5793 3.6504 3.6504
Re 1.5264 3.6504 3.6504
```



No. 13
## ErThCd5 (PBE)

Data for a relaxed structure of ErThCd5.

Computed properties:
Volume = 187 Å³ per cell
Size of the total moment = 0.00 μB per formula unit
ΔE_f = 0.000 eV per atom

Cell and atoms, written as extended XYZ:
```
7
Lattice="-5.0956 -0.4639 0.6525 0.7373 -1.0814 4.9893 -0.4245 6.8356 1.5443" Properties=species:S:1:pos:R:3 pbc="T T T"
Cd -2.8768 5.0648 1.5229
Cd 0.0397 4.7561 3.6913
Cd -2.6434 1.3069 0.6739
Cd 0.2731 0.9982 2.8423
Cd -2.3914 2.6452 3.5930
Th -0.2123 3.4178 0.7721
Er -2.1792 -0.7726 2.8209
```



No. 14
## SmPuPaIn (PBE)

Data for a relaxed structure of SmPuPaIn.

Computed properties:
Volume = 106 Å³ per cell
Size of the total moment = 7.11 μB per formula unit
ΔE_f = 0.117 eV per atom

Cell and atoms, written as extended XYZ:
```
4
Lattice="5.3105 0.0000 0.0000 2.6552 4.5990 0.0000 2.6552 1.5330 4.3360" Properties=species:S:1:pos:R:3 pbc="T T T"
Pa 7.9657 4.5990 3.2520
Pu 0.0000 0.0000 0.0000
Sm 5.3105 3.0660 2.1680
In 2.6552 1.5330 1.0840
```



No. 15
## Ti2FeTe (PBE)

Data for a relaxed structure of Ti2FeTe.

Computed properties:
Volume = 139 Å³ per cell
Size of the total moment = 0.00 μB per formula unit
Raw formation energy = 0.00 eV per atom

Cell and atoms, written as extended XYZ:
```
8
Lattice="7.1013 0.0000 0.0000 0.0000 7.1013 0.0000 3.5506 3.5506 2.7570" Properties=species:S:1:pos:R:3 pbc="T T T"
Te 7.1013 3.5506 1.3785
Te 0.0000 0.0000 0.0000
Ti 2.2301 5.3259 0.6892
Ti 4.8712 1.7753 0.6892
Ti 8.8766 8.4218 2.0677
Ti 5.3259 5.7807 2.0677
Fe 3.5506 7.1013 1.3785
Fe 3.5506 3.5506 0.0000
```



No. 16
## InReSbN2 (PBE)

Data for a relaxed structure of InReSbN2.

Computed properties:
Volume = 90 Å³ per cell
Size of the total moment = 0.16 μB per formula unit
Raw formation energy = 0.51 eV per atom

Cell and atoms, written as extended XYZ:
```
5
Lattice="-3.1796 -0.7956 2.2176 -1.8137 -3.7561 -3.9480 1.9973 -2.8861 1.8282" Properties=species:S:1:pos:R:3 pbc="T T T"
In -1.4980 -3.7189 0.0489
N -1.5898 -0.3978 1.1088
N 0.9986 -1.4430 0.9141
Sb -0.9068 -1.8780 -1.9740
Re 0.0000 0.0000 0.0000
```



No. 17
## TcAs2Br (PBE)

Data for a relaxed structure of TcAs2Br.

Computed properties:
Volume = 80 Å³ per cell
E above lowest polymorph = 272.9 meV/atom
Size of the total moment = 0.00 μB per formula unit
Raw formation energy = 0.26 eV per atom

Cell and atoms, written as extended XYZ:
```
4
Lattice="9.4703 0.0247 0.0146 8.9358 3.1365 0.0146 8.9358 1.5347 2.7354" Properties=species:S:1:pos:R:3 pbc="T T T"
Br 13.0998 2.2499 1.3245
As 7.3020 1.2541 0.7383
As 0.3555 0.0611 0.0359
Tc 20.2556 3.4789 2.0480
```



No. 18
## HoNpRu (PBE)

Data for a relaxed structure of HoNpRu.

Computed properties:
Volume = 127 Å³ per cell
Size of the total moment = 0.00 μB per formula unit
ΔE_f = -0.112 eV per atom

Cell and atoms, written as extended XYZ:
```
6
Lattice="-2.6388 1.8250 1.4619 -0.9908 -2.1666 5.1680 3.1389 4.5174 4.2780" Properties=species:S:1:pos:R:3 pbc="T T T"
Np 1.9035 2.8346 8.4003
Np -2.3941 1.3411 2.5076
Ru -0.4800 3.5206 7.4933
Ru -0.0106 0.6551 3.4146
Ho -0.7027 0.7243 6.3307
Ho 0.2121 3.4515 4.5773
```



No. 19
## TaMoRu2 (PBE)

Data for a relaxed structure of TaMoRu2.

Computed properties:
Volume = 62 Å³ per cell
E above lowest polymorph = 5.5 meV/atom
Size of the total moment = 0.00 μB per formula unit
ΔE_f = -0.071 eV per atom

Cell and atoms, written as extended XYZ:
```
4
Lattice="-3.8994 -0.2682 -2.5719 1.4724 -1.9728 -3.9790 0.6675 -1.5105 4.3778" Properties=species:S:1:pos:R:3 pbc="T T T"
Ru -1.2135 -1.1205 -3.2754
Ru 0.0000 0.0000 0.0000
Mo -2.2228 -1.4496 -0.7348
Ta 0.4631 -2.3019 -1.4383
```



No. 20
## ZrInPdAu2 (PBE)

Data for a relaxed structure of ZrInPdAu2.

Computed properties:
Volume = 135 Å³ per cell
Size of the total moment = 0.00 μB per formula unit
ΔE_f = 0.930 eV per atom

Cell and atoms, written as extended XYZ:
```
5
Lattice="-3.9311 1.1079 -2.8756 -3.3353 -1.2959 4.0603 0.1426 4.7215 1.6240" Properties=species:S:1:pos:R:3 pbc="T T T"
Zr -1.6677 -0.6479 2.0301
In 0.0000 0.0000 0.0000
Pd -3.5619 2.2667 1.4043
Au -1.9656 0.5539 -1.4378
Au 0.0713 2.3607 0.8120
```



No. 21
## Pr3Dy4Ho4 (PBE)

Data for a relaxed structure of Pr3Dy4Ho4.

Computed properties:
Volume = 367 Å³ per cell
E above lowest polymorph = 138.2 meV/atom
Size of the total moment = 0.00 μB per formula unit
ΔE_f = 0.159 eV per atom

Cell and atoms, written as extended XYZ:
```
11
Lattice="-2.6737 3.6867 -3.4753 -1.0734 -6.4566 -1.3019 -8.3889 0.0768 6.5353" Properties=species:S:1:pos:R:3 pbc="T T T"
Pr -7.8721 -3.6910 2.1408
Pr -4.4301 -3.7225 -0.5407
Pr -1.2305 -2.3553 -1.5519
Ho -9.1394 -0.4270 1.8567
Ho -7.4175 -1.7286 -0.8488
Ho -3.5337 -2.3616 -4.5082
Ho -4.3584 -0.4708 -1.8679
Dy -2.9455 -0.9203 1.2898
Dy -1.6077 1.3248 -2.0793
Dy -6.4284 -0.8884 4.0032
Dy -6.1028 0.7878 0.8093
```